Entry 1:
DFT (GGA-PBE) results for a relaxed Rb2NaGa crystal.

Cell and atoms, written as POSCAR:
```
Rb2NaGa
1.0
12.8980 0.0000 0.0000
0.0000 12.8980 0.0000
6.4490 6.4490 2.9944
Ga Rb Na
2 4 2
Direct
0.0000 0.0000 0.0000 Ga
0.7500 0.2500 0.5000 Ga
0.9753 0.6250 0.2500 Rb
0.3750 0.2253 0.7500 Rb
0.7747 0.1250 0.2500 Rb
0.8750 0.0247 0.7500 Rb
0.5000 0.5000 0.0000 Na
0.2500 0.7500 0.5000 Na
```

Values from the calculation:
E_tot = -1.37 eV/atom

***

Entry 2:
DFT (GGA-PBE) results for a relaxed Y2NiAgC crystal.

Cell and atoms, written as POSCAR:
```
Y2NiAgC
1.0
-3.6818 -2.4511 2.3853
-2.3806 -0.6799 -4.3731
1.8065 -3.1882 -0.4877
Y C Ni Ag
2 1 1 1
Direct
0.0000 0.5000 0.0000 Y
0.5000 0.0000 0.0000 Y
0.0000 0.0000 0.0000 C
0.0000 0.0000 0.5000 Ni
0.5000 0.5000 0.5000 Ag
```

Values from the calculation:
E_tot = -6.51 eV/atom

***

Entry 3:
DFT (GGA-PBE) results for a relaxed In2HgCl crystal.

Cell and atoms, written as POSCAR:
```
In2HgCl
1.0
-2.1074 9.6689 -3.6509
-5.2213 8.0616 -4.3609
-4.6128 9.4209 -1.1115
Cl Hg In
1 1 2
Direct
0.5127 0.5128 0.5128 Cl
0.7508 0.7509 0.7509 Hg
0.2408 0.2408 0.2408 In
0.9956 0.9956 0.9956 In
```

Values from the calculation:
E_tot = -2.19 eV/atom
energy above the lowest structure with this stoichiometry = 83 meV/atom

***

Entry 4:
DFT (GGA-PBE) results for a relaxed Tb6Sm3Er crystal.

Cell and atoms, written as POSCAR:
```
Tb6Sm3Er
1.0
-5.1873 -3.6181 0.1221
3.3865 -5.1604 -9.0406
2.8683 -3.7794 9.8650
Tb Sm Er
12 6 2
Direct
0.3666 0.0510 0.4704 Tb
0.0481 0.7122 0.6216 Tb
0.6479 0.2748 0.7252 Tb
0.3829 0.9593 0.0407 Tb
0.1479 0.7252 0.2748 Tb
0.0481 0.3784 0.2878 Tb
0.8666 0.4704 0.0510 Tb
0.5481 0.6216 0.7122 Tb
0.5481 0.2878 0.3784 Tb
0.8829 0.0407 0.9593 Tb
0.3666 0.5296 0.9490 Tb
0.8666 0.9490 0.5296 Tb
0.5720 0.6121 0.3879 Sm
0.0720 0.3879 0.6121 Sm
0.4620 0.9399 0.7142 Sm
0.4620 0.2858 0.0601 Sm
0.9620 0.7142 0.9399 Sm
0.9620 0.0601 0.2858 Sm
0.6293 0.8022 0.1978 Er
0.1293 0.1978 0.8022 Er
```

Values from the calculation:
E_tot = -4.50 eV/atom
energy above the lowest structure with this stoichiometry = 0 meV/atom

***

Entry 5:
DFT (GGA-PBE) results for a relaxed MnTlSb crystal.

Cell and atoms, written as POSCAR:
```
MnTlSb
1.0
-0.9088 6.7441 0.6523
-3.6281 5.3547 2.2136
1.3641 0.7605 3.0535
Tl Sb Mn
1 1 1
Direct
0.3577 0.3577 0.6423 Tl
0.6217 0.6218 0.3783 Sb
0.0206 0.0206 0.9794 Mn
```

Values from the calculation:
E_tot = -4.95 eV/atom

***

Entry 6:
DFT (GGA-PBE) results for a relaxed RbAg7Br12 crystal.

Cell and atoms, written as POSCAR:
```
RbAg7Br12
1.0
-3.9645 8.1364 -0.2603
-6.3521 -6.4525 0.0476
5.0347 -0.6658 7.4963
Ag Br Rb
7 12 1
Direct
0.0000 0.5000 0.0000 Ag
0.5000 0.0000 0.5000 Ag
0.5000 0.0000 0.0000 Ag
0.5000 0.5000 0.5000 Ag
0.0000 0.5000 0.5000 Ag
0.5000 0.5000 0.0000 Ag
0.0000 0.0000 0.5000 Ag
0.3148 0.8230 0.1378 Br
0.8230 0.1378 0.3148 Br
0.4918 0.3148 0.1770 Br
0.1770 0.4918 0.3148 Br
0.8622 0.6852 0.1770 Br
0.6852 0.1770 0.8622 Br
0.1378 0.3148 0.8230 Br
0.6852 0.8230 0.5082 Br
0.8230 0.5082 0.6852 Br
0.3148 0.1770 0.4918 Br
0.1770 0.8622 0.6852 Br
0.5082 0.6852 0.8230 Br
0.0000 0.0000 0.0000 Rb
```

Values from the calculation:
E_tot = -2.45 eV/atom

***

Entry 7:
DFT (GGA-PBE) results for a relaxed Na2HoUSe4 crystal.

Cell and atoms, written as POSCAR:
```
Na2HoUSe4
1.0
-3.3382 -0.7084 -2.3348
0.7411 -7.0592 1.0821
-4.3333 2.7925 5.3484
Na Se Ho U
2 4 1 1
Direct
0.5000 0.0000 0.5000 Na
0.0000 0.5000 0.5000 Na
0.5000 0.2476 0.2329 Se
0.0000 0.2594 0.7692 Se
0.0000 0.7406 0.2308 Se
0.5000 0.7524 0.7671 Se
0.5000 0.5000 0.0000 Ho
0.0000 0.0000 0.0000 U
```

Values from the calculation:
E_tot = -5.48 eV/atom

***

Entry 8:
DFT (GGA-PBE) results for a relaxed CsPtS3 crystal.

Cell and atoms, written as POSCAR:
```
CsPtS3
1.0
-2.1356 3.8312 -2.2748
-1.3361 -2.9572 -3.7261
-4.2506 -0.9954 2.3141
S Cs Pt
3 1 1
Direct
0.0000 0.0000 0.5000 S
0.0000 0.5000 0.0000 S
0.5000 0.0000 0.0000 S
0.5000 0.5000 0.5000 Cs
0.0000 0.0000 0.0000 Pt
```

Values from the calculation:
E_tot = -3.88 eV/atom

***

Entry 9:
DFT (GGA-PBE) results for a relaxed PuNiGe2 crystal.

Cell and atoms, written as POSCAR:
```
PuNiGe2
1.0
-1.6281 3.1770 1.8868
-3.9961 0.5718 -0.0904
-2.3753 -1.5676 4.9103
Ni Ge Pu
1 2 1
Direct
0.5000 0.5000 0.5000 Ni
0.2178 0.2178 0.3466 Ge
0.7822 0.7822 0.6534 Ge
0.0000 0.0000 0.0000 Pu
```

Values from the calculation:
E_tot = -7.78 eV/atom

***

Entry 10:
DFT (GGA-PBE) results for a relaxed Al2Co2Hg crystal.

Cell and atoms, written as POSCAR:
```
Al2Co2Hg
1.0
7.0703 0.0000 0.0000
0.0000 7.0703 0.0000
0.0000 0.0000 2.7915
Co Al Hg
4 4 2
Direct
0.8440 0.3440 0.5000 Co
0.1560 0.6560 0.5000 Co
0.6560 0.8440 0.5000 Co
0.3440 0.1560 0.5000 Co
0.6348 0.1348 0.0000 Al
0.1348 0.3652 0.0000 Al
0.8652 0.6348 0.0000 Al
0.3652 0.8652 0.0000 Al
0.5000 0.5000 0.0000 Hg
0.0000 0.0000 0.0000 Hg
```

Values from the calculation:
E_tot = -4.52 eV/atom
energy above the lowest structure with this stoichiometry = 41 meV/atom

***

Entry 11:
DFT (GGA-PBE) results for a relaxed LaB2C2 crystal.

Cell and atoms, written as POSCAR:
```
LaB2C2
1.0
-3.4535 -0.1201 -1.6592
0.7777 -3.4963 -1.3657
-3.0680 -3.2692 6.6222
La C B
2 4 4
Direct
0.0000 0.0000 0.2500 La
0.0000 0.0000 0.7500 La
0.5000 0.1860 0.0000 C
0.1860 0.5000 0.5000 C
0.5000 0.8140 0.0000 C
0.8140 0.5000 0.5000 C
0.2174 0.5000 0.0000 B
0.5000 0.7826 0.5000 B
0.7826 0.5000 0.0000 B
0.5000 0.2174 0.5000 B
```

Values from the calculation:
E_tot = -7.67 eV/atom

***

Entry 12:
DFT (GGA-PBE) results for a relaxed Er4Bi2SbAs crystal.

Cell and atoms, written as POSCAR:
```
Er4Bi2SbAs
1.0
-2.4564 -3.5185 0.3990
2.6743 -2.6048 -6.5057
4.3861 -2.4241 5.6276
Er Bi Sb As
4 2 1 1
Direct
0.5000 0.2354 0.2316 Er
0.5000 0.7646 0.7684 Er
0.0000 0.2454 0.7627 Er
0.0000 0.7546 0.2373 Er
0.0000 0.5000 0.5000 Bi
0.5000 0.0000 0.5000 Bi
0.5000 0.5000 0.0000 Sb
0.0000 0.0000 0.0000 As
```

Values from the calculation:
E_tot = -5.38 eV/atom

***

Entry 13:
DFT (GGA-PBE) results for a relaxed SmDyScAg crystal.

Cell and atoms, written as POSCAR:
```
SmDyScAg
1.0
3.5450 0.0000 0.0000
0.0000 3.5450 0.0000
0.0000 0.0000 8.4487
Sm Ag Sc Dy
1 1 1 1
Direct
0.0000 0.0000 0.0866 Sm
0.0000 0.0000 0.5513 Ag
0.5000 0.5000 0.3659 Sc
0.5000 0.5000 0.7809 Dy
```

Values from the calculation:
E_tot = -4.73 eV/atom
energy above the lowest structure with this stoichiometry = 0 meV/atom

***

Entry 14:
DFT (GGA-PBE) results for a relaxed TaGa2Sn2 crystal.

Cell and atoms, written as POSCAR:
```
TaGa2Sn2
1.0
7.4304 0.0000 0.0000
0.0000 7.4304 0.0000
0.0000 0.0000 3.8865
Ta Sn Ga
2 4 4
Direct
0.5000 0.5000 0.0000 Ta
0.0000 0.0000 0.0000 Ta
0.1432 0.3568 0.0000 Sn
0.8568 0.6432 0.0000 Sn
0.6432 0.1432 0.0000 Sn
0.3568 0.8568 0.0000 Sn
0.6651 0.8349 0.5000 Ga
0.1651 0.6651 0.5000 Ga
0.3349 0.1651 0.5000 Ga
0.8349 0.3349 0.5000 Ga
```

Values from the calculation:
E_tot = -4.75 eV/atom
energy above the lowest structure with this stoichiometry = 85 meV/atom

***

Entry 15:
DFT (GGA-PBE) results for a relaxed AcTbTmTl crystal.

Cell and atoms, written as POSCAR:
```
AcTbTmTl
1.0
-3.9782 -3.9468 -0.2903
-0.1790 -4.0907 3.8369
-4.1296 -0.1059 3.7977
Tl Ac Tm Tb
1 1 1 1
Direct
0.0000 0.0000 0.0000 Tl
0.5000 0.5000 0.5000 Ac
0.7500 0.7500 0.7500 Tm
0.2500 0.2500 0.2500 Tb
```

Values from the calculation:
E_tot = -3.82 eV/atom

***

Entry 16:
DFT (GGA-PBE) results for a relaxed CrFe3Rh4 crystal.

Cell and atoms, written as POSCAR:
```
CrFe3Rh4
1.0
-3.2183 3.1547 0.2361
-3.5284 -3.7386 1.8584
2.3521 1.7952 8.0773
Fe Rh Cr
6 8 2
Direct
0.3565 0.0000 0.2500 Fe
0.6435 0.0000 0.7500 Fe
0.3556 0.5000 0.2500 Fe
0.6444 0.5000 0.7500 Fe
0.0000 0.0000 0.5000 Fe
0.0000 0.0000 0.0000 Fe
0.5000 0.7475 0.0000 Rh
0.5000 0.2525 0.0000 Rh
0.5000 0.7475 0.5000 Rh
0.1336 0.2494 0.7500 Rh
0.8664 0.7506 0.2500 Rh
0.5000 0.2525 0.5000 Rh
0.1336 0.7506 0.7500 Rh
0.8664 0.2494 0.2500 Rh
0.0000 0.5000 0.0000 Cr
0.0000 0.5000 0.5000 Cr
```

Values from the calculation:
E_tot = -8.12 eV/atom

***

Entry 17:
DFT (GGA-PBE) results for a relaxed CePuCo2P2 crystal.

Cell and atoms, written as POSCAR:
```
CePuCo2P2
1.0
-0.6127 -3.8487 0.4115
1.9951 1.3468 -3.0925
6.5560 -0.6203 3.9593
P Co Ce Pu
2 2 1 1
Direct
0.6667 0.3333 0.7461 P
0.3333 0.6667 0.2539 P
0.3333 0.6667 0.7438 Co
0.6667 0.3333 0.2562 Co
0.0000 0.0000 0.0000 Ce
0.0000 0.0000 0.5000 Pu
```

Values from the calculation:
E_tot = -8.53 eV/atom

***

Entry 18:
DFT (GGA-PBE) results for a relaxed AcNdCoI crystal.

Cell and atoms, written as POSCAR:
```
AcNdCoI
1.0
-0.0767 4.1485 -0.2678
-2.0815 -2.3001 -2.7663
-6.0579 -1.7986 6.0546
Co Ac Nd I
1 1 1 1
Direct
0.3105 0.5531 0.8787 Co
0.5177 0.1566 0.6906 Ac
0.0936 0.9448 0.0526 Nd
0.9562 0.3762 0.3477 I
```

Values from the calculation:
E_tot = -4.97 eV/atom

***

Entry 19:
DFT (GGA-PBE) results for a relaxed BeReAg2 crystal.

Cell and atoms, written as POSCAR:
```
BeReAg2
1.0
-5.6346 6.9923 -0.8271
-7.3994 4.9460 -1.4526
-6.9463 5.6247 1.1983
Ag Re Be
2 1 1
Direct
0.5090 0.5090 0.5090 Ag
0.9910 0.9910 0.9910 Ag
0.7500 0.7500 0.7500 Re
0.2500 0.2500 0.2500 Be
```

Values from the calculation:
E_tot = -4.98 eV/atom

***

Entry 20:
DFT (GGA-PBE) results for a relaxed Sr2ScBeCl crystal.

Cell and atoms, written as POSCAR:
```
Sr2ScBeCl
1.0
-4.8277 -3.5199 -2.4681
1.9345 -3.7549 1.5712
-3.2836 0.6237 5.5333
Sc Cl Be Sr
1 1 1 2
Direct
0.0000 0.0000 0.0000 Sc
0.5000 0.5000 0.5000 Cl
0.0000 0.5000 0.0000 Be
0.5000 0.0000 0.0000 Sr
0.0000 0.0000 0.5000 Sr
```

Values from the calculation:
E_tot = -2.68 eV/atom

***

no.,D(E_F) (states/eV per atom)
1,0.700
2,0.701
3,0.257
4,1.362
5,0.876
6,1.002
7,0.869
8,1.044
9,2.296
10,0.523
11,0.144
12,0.153
13,1.542
14,0.470
15,1.770
16,1.205
17,2.025
18,0.216
19,0.951
20,0.824